Entry 1:
# K2SrCl

An optimized crystal structure of K2SrCl (PBE, Alexandria).

Properties
The value obtained for the mass density is 1.73 g cm⁻³. The uncorrected energy comes out at -2.3207 eV/atom. The value obtained for the magnetic moment is 0.00 Bohr magnetons per cell.

Unit cell a=11.909 b=11.909 c=11.909 alpha=21.21 beta=21.21 gamma=21.21
Fractional coordinates of all 4 atoms:
Sr 0.250 0.250 0.250
K 0.028 0.028 0.028
K 0.472 0.472 0.472
Cl 0.750 0.750 0.750

***

Entry 2:
# KSr2Cl5

An optimized crystal structure of KSr2Cl5 (PBE, Alexandria).

Properties
The value obtained for the mass density is 2.60 g cm⁻³. The uncorrected energy comes out at -4.0249 eV/atom. The value obtained for the magnetic moment is 0.06 Bohr magnetons per cell.

Unit cell a=4.456 b=7.304 c=8.791 alpha=114.55 beta=104.68 gamma=90.00
Fractional coordinates of all 8 atoms:
K 0.000 0.000 0.000
Sr 0.184 0.684 0.369
Sr 0.816 0.316 0.631
Cl 0.000 0.500 0.000
Cl 0.656 0.392 0.311
Cl 0.344 0.608 0.689
Cl 0.656 0.919 0.311
Cl 0.344 0.081 0.689

***

Entry 3:
# KSrCl2

An optimized crystal structure of KSrCl2 (PBE, Alexandria).

Properties
The value obtained for the mass density is 1.79 g cm⁻³. The uncorrected energy comes out at -3.2954 eV/atom. The value obtained for the magnetic moment is 0.00 Bohr magnetons per cell.

Unit cell a=7.130 b=7.130 c=8.786 alpha=66.06 beta=66.06 gamma=90.00
Fractional coordinates of all 8 atoms:
Sr 0.000 0.000 0.000
Sr 0.750 0.250 0.500
K 0.500 0.500 0.000
K 0.250 0.750 0.500
Cl 0.677 0.125 0.250
Cl 0.073 0.625 0.250
Cl 0.375 0.323 0.750
Cl 0.875 0.927 0.750

***

Entry 4:
# KSrCl2

An optimized crystal structure of KSrCl2 (PBE, Alexandria).

Properties
The value obtained for the mass density is 1.96 g cm⁻³. The uncorrected energy comes out at -3.3090 eV/atom. The value obtained for the magnetic moment is 0.00 Bohr magnetons per cell.

Unit cell a=7.540 b=7.540 c=4.571 alpha=53.30 beta=53.30 gamma=69.11
Fractional coordinates of all 4 atoms:
Sr 0.000 0.500 0.500
K 0.500 0.000 0.500
Cl 0.000 0.000 0.000
Cl 0.500 0.500 0.000

***

Entry 5:
# K2SrCl

An optimized crystal structure of K2SrCl (PBE, Alexandria).

Properties
The value obtained for the mass density is 1.73 g cm⁻³. The uncorrected energy comes out at -2.2747 eV/atom. The value obtained for the magnetic moment is 0.00 Bohr magnetons per cell.

Unit cell a=12.014 b=12.014 c=12.014 alpha=20.89 beta=20.89 gamma=20.89
Fractional coordinates of all 4 atoms:
Sr 0.476 0.476 0.476
K 0.025 0.025 0.025
K 0.247 0.247 0.247
Cl 0.752 0.752 0.752

***

Entry 6:
# K3SrCl

An optimized crystal structure of K3SrCl (PBE, Alexandria).

Properties
The value obtained for the mass density is 0.78 g cm⁻³. The uncorrected energy comes out at -1.2559 eV/atom. The value obtained for the magnetic moment is 1.97 Bohr magnetons per cell.

Unit cell a=7.994 b=7.994 c=7.994 alpha=90.00 beta=90.00 gamma=90.00
Each line ends with the local moment (μB).
Fractional coordinates of all 5 atoms:
Sr 0.000 0.000 0.000  0.11
K 0.000 0.500 0.000  0.03
K 0.000 0.000 0.500  0.02
K 0.500 0.000 0.000  0.04
Cl 0.500 0.500 0.500  0.03

***

Entry 7:
# KSrCl2

An optimized crystal structure of KSrCl2 (PBE, Alexandria).

Properties
The value obtained for the mass density is 2.56 g cm⁻³. The uncorrected energy comes out at -3.2963 eV/atom. The value obtained for the magnetic moment is 0.00 Bohr magnetons per cell.

Unit cell a=4.507 b=4.507 c=6.309 alpha=90.00 beta=90.00 gamma=90.13
Fractional coordinates of all 4 atoms:
Sr 0.500 0.500 0.375
K 0.000 0.000 0.875
Cl 0.000 0.000 0.375
Cl 0.500 0.500 0.874

***

Entry 8:
# KSrCl2

An optimized crystal structure of KSrCl2 (PBE, Alexandria).

Properties
The value obtained for the mass density is 2.27 g cm⁻³. The uncorrected energy comes out at -3.3288 eV/atom. The value obtained for the magnetic moment is 0.19 Bohr magnetons per cell.

Unit cell a=8.522 b=8.522 c=4.391 alpha=90.23 beta=90.23 gamma=26.95
Fractional coordinates of all 4 atoms:
Sr 0.287 0.287 0.126
K 0.539 0.539 0.621
Cl 0.922 0.922 0.128
Cl 0.752 0.752 0.625